The following is a DFT calculation (PBE) of an optimized crystal structure of GaCu7Pd12.

Cell lengths 6.8964, 6.8964, 6.8964 Å; angles 104.56, 104.56, 104.56 degrees
Positions (direct):
Ga1 0.0000 0.0000 0.0000
Cu1 0.1189 0.6820 0.0549
Cu2 0.3180 0.9451 0.8811
Cu3 0.9451 0.8811 0.3180
Cu4 0.5000 0.5000 0.5000
Cu5 0.0549 0.1189 0.6820
Cu6 0.6820 0.0549 0.1189
Cu7 0.8811 0.3180 0.9451
Pd1 0.7674 0.2691 0.5446
Pd2 0.7309 0.4554 0.2326
Pd3 0.3541 0.0716 0.2928
Pd4 0.9284 0.7072 0.6459
Pd5 0.4554 0.2326 0.7309
Pd6 0.7072 0.6459 0.9284
Pd7 0.2928 0.3541 0.0716
Pd8 0.5446 0.7674 0.2691
Pd9 0.0716 0.2928 0.3541
Pd10 0.6459 0.9284 0.7072
Pd11 0.2691 0.5446 0.7674
Pd12 0.2326 0.7309 0.4554

Properties
Electronic total energy   -95.89 eV per cell
Symmetry   R-3 (148)
Calculated volume   14.471 Å³/atom
ΔH_f (0 K)   -9.1 kJ/mol of atoms